<i>
The following is a DFT calculation (PBE) of Al3GeH after structural relaxation.

Summary:
The calculation puts the density of states at the Fermi level at 0.41 states/eV/atom.

Cell: 4.1593 4.1593 4.1593 Å, 90.00 90.00 90.00°
Last column: nearest neighbours and their distance in Å.
Space group Pm-3m (No. 221)
Unique sites:
Al 0.0000 0.0000 0.5000 (multiplicity 3)  2 H 2.08
Ge 0.5000 0.5000 0.5000 (multiplicity 1)  12 Al 2.94
H 0.0000 0.0000 0.0000 (multiplicity 1)  6 Al 2.08

<ii>
The following is a DFT calculation (PBE) of Al3GeH after structural relaxation.

Summary:
The calculation puts the density of states at the Fermi level at 0.66 states/eV/atom.

Cell: 4.9818 4.9818 4.9818 Å, 90.00 90.00 90.00°
Last column: nearest neighbours and their distance in Å.
Space group Pm-3m (No. 221)
Unique sites:
Al 0.0000 0.0000 0.5000 (multiplicity 3)  2 Ge 2.49
Ge 0.0000 0.0000 0.0000 (multiplicity 1)  6 Al 2.49
H 0.5000 0.5000 0.5000 (multiplicity 1)  12 Al 3.52

Stability, descending: <i>, <ii>

<i>
The following is a DFT calculation (PBE) of AlGe2H after structural relaxation.

Summary:
The calculation puts the density of states at the Fermi level at 0.02 states/eV/atom.

Cell: 4.3406 4.3406 14.2085 Å, 90.00 90.00 90.00°
Last column: nearest neighbours and their distance in Å.
Space group I-42d (No. 122)
Unique sites:
Al 0.0000 0.0000 0.0000 (multiplicity 4)  4 Ge 2.53
Ge 0.1673 0.2500 0.6250 (multiplicity 8)  2 H 2.20
H 0.0000 0.0000 0.5000 (multiplicity 4)  4 Ge 2.20

<ii>
The following is a DFT calculation (PBE) of AlGe2H after structural relaxation.

Summary:
The calculation puts the density of states at the Fermi level at 0.43 states/eV/atom.

Cell: 6.2285 6.2285 6.2285 Å, 90.00 90.00 90.00°
Last column: nearest neighbours and their distance in Å.
Space group Fm-3m (No. 225)
Unique sites:
Al 0.0000 0.0000 0.0000 (multiplicity 4)  8 Ge 2.70
Ge 0.2500 0.2500 0.2500 (multiplicity 8)  4 H 2.70, 4 Al 2.70
H 0.0000 0.0000 0.5000 (multiplicity 4)  8 Ge 2.70

Stability, descending: <i>, <ii>

<i>
The following is a DFT calculation (PBE) of AlGeH3 after structural relaxation.

Summary:
The calculation puts the density of states at the Fermi level at 0.41 states/eV/atom.

Cell: 3.6550 3.6550 3.6550 Å, 90.00 90.00 90.00°
Last column: nearest neighbours and their distance in Å.
Space group Pm-3m (No. 221)
Unique sites:
Al 0.0000 0.0000 0.0000 (multiplicity 1)  6 H 1.83
Ge 0.5000 0.5000 0.5000 (multiplicity 1)  12 H 2.58
H 0.0000 0.0000 0.5000 (multiplicity 3)  2 Al 1.83

<ii>
The following is a DFT calculation (PBE) of AlGeH3 after structural relaxation.

Summary:
The calculation puts the density of states at the Fermi level at 0.26 states/eV/atom.

Cell: 3.8062 3.8062 3.8062 Å, 90.00 90.00 90.00°
Last column: nearest neighbours and their distance in Å.
Space group Pm-3m (No. 221)
Unique sites:
Al 0.0000 0.0000 0.0000 (multiplicity 1)  12 H 2.69
Ge 0.5000 0.5000 0.5000 (multiplicity 1)  6 H 1.90
H 0.0000 0.5000 0.5000 (multiplicity 3)  2 Ge 1.90

Stability, descending: <i>, <ii>

<i>
The following is a DFT calculation (PBE) of Hf2AlGe after structural relaxation.

Summary:
The calculation puts the density of states at the Fermi level at 0.53 states/eV/atom.

Cell: 5.4273 3.8338 7.6941 Å, 90.00 110.39 90.00°
Last column: nearest neighbours and their distance in Å.
Space group P2_1/m (No. 11)
Unique sites:
Hf 0.2094 0.2500 0.4239 (multiplicity 2)  4 Al 2.77-2.99, 3 Ge 2.78-3.01
Hf 0.2768 0.7500 0.0700 (multiplicity 2)  4 Ge 2.77-3.01, 3 Al 2.80-3.01
Al 0.3781 0.7500 0.7092 (multiplicity 2)  2 Ge 2.54, 5 Hf 2.77-2.82
Ge 0.1324 0.2500 0.7930 (multiplicity 2)  2 Al 2.54, 5 Hf 2.77-2.78

<ii>
The following is a DFT calculation (PBE) of Hf2AlGe after structural relaxation.

Summary:
The calculation puts the density of states at the Fermi level at 1.07 states/eV/atom.

Cell: 6.7193 6.7193 6.7193 Å, 90.00 90.00 90.00°
Last column: nearest neighbours and their distance in Å.
Space group Fm-3m (No. 225)
Unique sites:
Hf 0.2500 0.2500 0.2500 (multiplicity 8)  4 Ge 2.91, 4 Al 2.91
Al 0.0000 0.0000 0.0000 (multiplicity 4)  8 Hf 2.91
Ge 0.0000 0.0000 0.5000 (multiplicity 4)  8 Hf 2.91

<iii>
The following is a DFT calculation (PBE) of Hf2AlGe after structural relaxation.

Summary:
The calculation puts the density of states at the Fermi level at 0.56 states/eV/atom.

Cell: 7.4303 7.4303 5.8555 Å, 90.00 90.00 90.00°
Last column: nearest neighbours and their distance in Å.
Space group I-42d (No. 122)
Unique sites:
Hf 0.2399 0.7500 0.1250 (multiplicity 8)  2 Ge 2.68, 2 Al 2.78, 2 Hf 2.93
Al 0.0000 0.0000 0.5000 (multiplicity 4)  4 Hf 2.78, 2 Ge 2.93
Ge 0.0000 0.0000 0.0000 (multiplicity 4)  4 Hf 2.68, 2 Al 2.93

Stability, descending: <i>, <ii>, <iii>

<i>
The following is a DFT calculation (PBE) of Hf3AlGe after structural relaxation.

Summary:
The calculation puts the density of states at the Fermi level at 0.76 states/eV/atom.

Cell: 4.9174 4.9174 4.9174 Å, 90.00 90.00 90.00°
Last column: nearest neighbours and their distance in Å.
Space group Pm-3m (No. 221)
Unique sites:
Hf 0.0000 0.0000 0.5000 (multiplicity 3)  2 Ge 2.46
Al 0.5000 0.5000 0.5000 (multiplicity 1)  12 Hf 3.48
Ge 0.0000 0.0000 0.0000 (multiplicity 1)  6 Hf 2.46

<ii>
The following is a DFT calculation (PBE) of Hf3AlGe after structural relaxation.

Summary:
The calculation puts the density of states at the Fermi level at 0.90 states/eV/atom.

Cell: 8.4211 5.3690 10.2929 Å, 90.00 120.60 90.00°
Last column: nearest neighbours and their distance in Å.
Space group P2_1/c (No. 14)
Unique sites:
Hf 0.0032 0.0713 0.3463 (multiplicity 4)  2 Ge 2.82-2.93, 3 Al 2.85-3.15, 2 Hf 2.91-3.10
Hf 0.3323 0.1270 0.9489 (multiplicity 4)  3 Ge 2.71-2.88, 2 Hf 2.81-2.91, 1 Al 2.86
Hf 0.3914 0.6086 0.1663 (multiplicity 4)  3 Ge 2.79-2.95, 1 Al 3.08
Al 0.1740 0.1304 0.1373 (multiplicity 4)  1 Ge 2.53
Ge 0.3224 0.6434 0.8702 (multiplicity 4)  1 Al 2.53, 5 Hf 2.71-2.82

Stability, descending: <ii>, <i>

<i>
The following is a DFT calculation (PBE) of Al3HgGe after structural relaxation.

Summary:
The calculation puts the density of states at the Fermi level at 0.89 states/eV/atom.

Cell: 5.0235 5.0235 5.0235 Å, 90.00 90.00 90.00°
Last column: nearest neighbours and their distance in Å.
Space group Pm-3m (No. 221)
Unique sites:
Al 0.0000 0.0000 0.5000 (multiplicity 3)  2 Hg 2.51
Hg 0.0000 0.0000 0.0000 (multiplicity 1)  6 Al 2.51
Ge 0.5000 0.5000 0.5000 (multiplicity 1)  12 Al 3.55

<ii>
The following is a DFT calculation (PBE) of Al3HgGe after structural relaxation.

Summary:
The calculation puts the density of states at the Fermi level at 0.66 states/eV/atom.

Cell: 4.9609 4.9609 4.9609 Å, 90.00 90.00 90.00°
Last column: nearest neighbours and their distance in Å.
Space group Pm-3m (No. 221)
Unique sites:
Al 0.0000 0.0000 0.5000 (multiplicity 3)  2 Ge 2.48
Hg 0.5000 0.5000 0.5000 (multiplicity 1)  12 Al 3.51
Ge 0.0000 0.0000 0.0000 (multiplicity 1)  6 Al 2.48

Stability, descending: <ii>, <i>

<i>
The following is a DFT calculation (PBE) of AlHg2GeN after structural relaxation.

Summary:
The calculation puts the density of states at the Fermi level at 0.40 states/eV/atom.

Cell: 5.6512 5.6512 3.6016 Å, 90.00 90.00 90.00°
Last column: nearest neighbours and their distance in Å.
Space group P4/mmm (No. 123)
Unique sites:
Al 0.0000 0.0000 0.0000 (multiplicity 1)  8 Hg 3.35, 2 Al 3.60
Hg 0.0000 0.5000 0.5000 (multiplicity 2)  2 Ge 2.83
Ge 0.5000 0.5000 0.5000 (multiplicity 1)  2 N 1.80
N 0.5000 0.5000 0.0000 (multiplicity 1)  2 Ge 1.80

<ii>
The following is a DFT calculation (PBE) of AlHg2GeN after structural relaxation.

Summary:
The calculation puts the density of states at the Fermi level at 0.48 states/eV/atom.

Cell: 5.2687 5.2687 4.9550 Å, 90.00 90.00 90.00°
Last column: nearest neighbours and their distance in Å.
Space group P4/mmm (No. 123)
Unique sites:
Al 0.0000 0.0000 0.0000 (multiplicity 1)  2 Ge 2.48, 4 Hg 2.63
Hg 0.0000 0.5000 0.0000 (multiplicity 2)  2 Al 2.63
Ge 0.0000 0.0000 0.5000 (multiplicity 1)  2 Al 2.48
N 0.5000 0.5000 0.5000 (multiplicity 1)  8 Hg 3.62, 4 Ge 3.73

Stability, descending: <i>, <ii>

<i>
The following is a DFT calculation (PBE) of PmHoAlGe after structural relaxation.

Summary:
The calculation puts the density of states at the Fermi level at 0.68 states/eV/atom.

Cell: 7.2735 7.2735 7.2735 Å, 90.00 90.00 90.00°
Last column: nearest neighbours and their distance in Å.
Space group F-43m (No. 216)
Unique sites:
Pm 0.0000 0.0000 0.0000 (multiplicity 4)  4 Ge 3.15, 4 Al 3.15
Ho 0.0000 0.0000 0.5000 (multiplicity 4)  4 Al 3.15, 4 Ge 3.15
Al 0.2500 0.2500 0.2500 (multiplicity 4)  4 Ho 3.15, 4 Pm 3.15
Ge 0.2500 0.2500 0.7500 (multiplicity 4)  4 Ho 3.15, 4 Pm 3.15

<ii>
The following is a DFT calculation (PBE) of PmHoAlGe after structural relaxation.

Summary:
The calculation puts the density of states at the Fermi level at 0.81 states/eV/atom.

Cell: 4.0536 4.4055 11.0552 Å, 90.00 90.00 90.00°
Last column: nearest neighbours and their distance in Å.
Space group Amm2 (No. 38)
Unique sites:
Pm 0.0000 0.0000 0.0000 (multiplicity 2)  3 Ge 3.09-3.29, 4 Al 3.09
Ho 0.5000 0.0000 0.7181 (multiplicity 2)  4 Ge 3.07, 3 Al 3.20-3.21
Al 0.5000 0.0000 0.4289 (multiplicity 2)  2 Ge 2.62
Ge 0.0000 0.0000 0.2794 (multiplicity 2)  2 Al 2.62

Stability, descending: <ii>, <i>

<i>
The following is a DFT calculation (PBE) of AlGeI2 after structural relaxation.

Summary:
The calculation puts the density of states at the Fermi level at 0.43 states/eV/atom.

Cell: 7.6885 7.6885 7.6885 Å, 90.00 90.00 90.00°
Last column: nearest neighbours and their distance in Å.
Space group Fm-3m (No. 225)
Unique sites:
Al 0.0000 0.0000 0.0000 (multiplicity 4)  8 I 3.33
Ge 0.0000 0.0000 0.5000 (multiplicity 4)  8 I 3.33
I 0.2500 0.2500 0.2500 (multiplicity 8)  4 Ge 3.33, 4 Al 3.33

<ii>
The following is a DFT calculation (PBE) of AlGeI2 after structural relaxation.

Summary:
The calculation puts the density of states at the Fermi level at 0.72 states/eV/atom.

Cell: 5.6142 5.6142 18.6798 Å, 90.00 90.00 90.00°
Last column: nearest neighbours and their distance in Å.
Space group I-42d (No. 122)
Unique sites:
Al 0.0000 0.0000 0.0000 (multiplicity 4)  4 I 3.09
Ge 0.0000 0.0000 0.5000 (multiplicity 4)  4 I 3.04
I 0.2392 0.2500 0.6250 (multiplicity 8)  2 Ge 3.04, 2 Al 3.09

Stability, descending: <i>, <ii>

<i>
The following is a DFT calculation (PBE) of Al2Ge2I after structural relaxation.

Summary:
The calculation puts the density of states at the Fermi level at 0.54 states/eV/atom.

Cell: 4.7053 4.7053 10.0892 Å, 90.00 90.00 90.00°
Last column: nearest neighbours and their distance in Å.
Space group I4/mmm (No. 139)
Unique sites:
Al 0.0000 0.5000 0.2500 (multiplicity 4)  4 Ge 2.66
Ge 0.0000 0.0000 0.1260 (multiplicity 4)  1 Ge 2.54, 4 Al 2.66
I 0.0000 0.0000 0.5000 (multiplicity 2)  8 Al 3.45, 10 Ge 3.56-3.77

<ii>
The following is a DFT calculation (PBE) of Al2Ge2I after structural relaxation.

Summary:
The calculation puts the density of states at the Fermi level at 0.41 states/eV/atom.

Cell: 8.5792 8.5792 2.9964 Å, 90.00 90.00 90.00°
Last column: nearest neighbours and their distance in Å.
Space group P4/mbm (No. 127)
Unique sites:
Al 0.1431 0.3569 0.0000 (multiplicity 4)  6 Ge 2.90-2.96, 2 Al 3.00
Ge 0.1463 0.6463 0.5000 (multiplicity 4)  6 Al 2.90-2.96, 2 Ge 3.00
I 0.0000 0.0000 0.5000 (multiplicity 2)  2 I 3.00, 4 Ge 3.28

Stability, descending: <i>, <ii>

<i>
The following is a DFT calculation (PBE) of AlGe2I after structural relaxation.

Summary:
The calculation puts the density of states at the Fermi level at 0.86 states/eV/atom.

Cell: 7.1969 7.1969 7.1969 Å, 90.00 90.00 90.00°
Last column: nearest neighbours and their distance in Å.
Space group Fm-3m (No. 225)
Unique sites:
Al 0.0000 0.0000 0.0000 (multiplicity 4)  8 Ge 3.12
Ge 0.2500 0.2500 0.2500 (multiplicity 8)  4 I 3.12, 4 Al 3.12
I 0.0000 0.0000 0.5000 (multiplicity 4)  8 Ge 3.12

<ii>
The following is a DFT calculation (PBE) of AlGe2I after structural relaxation.

Summary:
The calculation puts the density of states at the Fermi level at 0.55 states/eV/atom.

Cell: 6.3237 6.3237 12.7505 Å, 90.00 90.00 90.00°
Last column: nearest neighbours and their distance in Å.
Space group I-42d (No. 122)
Unique sites:
Al 0.0000 0.0000 0.0000 (multiplicity 4)  4 Ge 2.51
Ge 0.1771 0.2500 0.1250 (multiplicity 8)  2 Al 2.51
I 0.0000 0.0000 0.5000 (multiplicity 4)  4 Ge 3.03

Stability, descending: <ii>, <i>

<i>
The following is a DFT calculation (PBE) of AlGeIN2 after structural relaxation.

Summary:
The calculation puts the density of states at the Fermi level at 0.44 states/eV/atom.

Cell: 3.9108 3.9108 5.7289 Å, 90.00 90.00 90.00°
Last column: nearest neighbours and their distance in Å.
Space group P4/mmm (No. 123)
Unique sites:
Al 0.0000 0.0000 0.0000 (multiplicity 1)  4 N 1.96
Ge 0.5000 0.5000 0.5000 (multiplicity 1)  4 I 2.77
I 0.0000 0.0000 0.5000 (multiplicity 1)  4 Ge 2.77, 2 Al 2.86
N 0.0000 0.5000 0.0000 (multiplicity 2)  2 Al 1.96

<ii>
The following is a DFT calculation (PBE) of AlGeIN2 after structural relaxation.

Summary:
The calculation puts the density of states at the Fermi level at 0.54 states/eV/atom.

Cell: 3.8817 3.8817 6.3523 Å, 90.00 90.00 90.00°
Last column: nearest neighbours and their distance in Å.
Space group P4/mmm (No. 123)
Unique sites:
Al 0.0000 0.0000 0.0000 (multiplicity 1)  4 I 2.74
Ge 0.5000 0.5000 0.5000 (multiplicity 1)  4 N 1.94
I 0.5000 0.5000 0.0000 (multiplicity 1)  4 Al 2.74
N 0.0000 0.5000 0.5000 (multiplicity 2)  2 Ge 1.94

Stability, descending: <i>, <ii>